one | This record from the Alexandria database describes BaLa2Cl8 after structural relaxation. The functional is PBE-GGA.

```
BaLa2Cl8
1.0
10.072 0.144 0.000
-6.848 7.386 0.000
-1.612 -3.765 9.202
Cl La Ba
16 4 2
Cartesian
0.253 -0.997 3.789 Cl
0.091 -1.808 7.527 Cl
3.433 1.458 2.018 Cl
-2.357 1.510 4.235 Cl
0.715 3.260 5.413 Cl
0.309 5.851 2.582 Cl
4.386 -2.378 6.442 Cl
-4.655 2.881 8.577 Cl
3.792 4.601 0.796 Cl
-2.927 -0.275 7.184 Cl
0.240 2.583 1.675 Cl
-3.137 5.297 2.761 Cl
6.909 2.386 0.625 Cl
4.331 3.102 4.968 Cl
2.409 0.497 6.620 Cl
-0.900 2.154 8.407 Cl
-1.538 4.634 0.721 La
-0.489 0.689 5.965 La
2.447 3.887 3.238 La
2.803 -1.679 8.482 La
5.036 0.072 4.601 Ba
0.000 0.000 0.000 Ba
```

Calculated values
As for the crystal system: tetragonal.

two | This record from the Alexandria database describes BaLa2Cl8 after structural relaxation. The functional is PBE-GGA.

```
BaLa2Cl8
1.0
-7.611 -5.035 4.942
-7.737 -4.381 -5.352
0.423 -10.500 -0.673
Cl La Ba
16 4 2
Cartesian
-4.577 -10.055 -0.757 Cl
-4.784 -4.827 -0.074 Cl
-5.070 -12.123 2.177 Cl
-8.689 -10.136 3.356 Cl
-10.141 -15.089 -1.008 Cl
-9.855 -7.792 -3.260 Cl
-8.573 -14.893 -4.735 Cl
-10.348 -9.861 -0.325 Cl
-6.352 -5.023 3.653 Cl
-5.107 -8.125 2.808 Cl
-4.976 -12.962 -4.025 Cl
-5.352 -6.508 -3.233 Cl
-9.573 -13.408 2.151 Cl
-9.818 -11.790 -3.891 Cl
-6.236 -9.780 -4.439 Cl
-9.949 -6.953 2.942 Cl
-3.598 -4.533 -2.622 La
-3.328 -10.084 1.778 La
-11.327 -15.383 1.539 La
-11.597 -9.832 -2.860 La
-7.296 -12.895 4.200 Ba
-7.629 -7.021 -5.282 Ba
```

Calculated values
As for the crystal system: monoclinic.

three | This record from the Alexandria database describes BaLa2Cl8 after structural relaxation. The functional is PBE-GGA.

```
BaLa2Cl8
1.0
-6.118 2.314 -4.287
1.319 -7.668 -0.787
-3.946 -1.731 3.450
Cl La Ba
8 2 1
Cartesian
-4.989 -3.430 0.818 Cl
-7.145 -4.011 -2.576 Cl
-5.178 -6.651 -1.650 Cl
-0.512 -5.211 -1.648 Cl
-4.287 -0.143 -3.425 Cl
-3.757 -3.655 -2.441 Cl
-3.568 -0.433 0.027 Cl
-1.600 -3.074 0.952 Cl
-3.026 -5.349 -0.178 La
-5.719 -1.735 -1.445 La
0.000 0.000 0.000 Ba
```

Calculated values
As for the crystal system: monoclinic.

Q: Which of them is the most stable? A: three.

one | This record from the Alexandria database describes BaLaP2Cl after structural relaxation. The functional is PBE-GGA.

```
BaLaP2Cl
1.0
5.546 0.000 0.000
0.000 5.546 0.000
0.000 0.000 5.490
La P Cl Ba
1 2 1 1
Cartesian
2.773 2.773 2.745 La
2.773 0.000 0.000 P
0.000 2.773 0.000 P
0.000 0.000 2.745 Cl
0.000 0.000 0.000 Ba
```

Calculated values
As for the crystal system: tetragonal.

two | This record from the Alexandria database describes BaLaP2Cl after structural relaxation. The functional is PBE-GGA.

```
BaLaP2Cl
1.0
5.505 0.000 0.000
0.000 5.505 0.000
0.000 0.000 5.551
P La Cl Ba
2 1 1 1
Cartesian
0.000 2.752 0.000 P
2.752 0.000 0.000 P
0.000 0.000 0.000 La
0.000 0.000 2.776 Cl
2.752 2.752 2.776 Ba
```

Calculated values
As for the crystal system: tetragonal.

Q: Which of them is the most stable? A: two.

one | This record from the Alexandria database describes BaLaS2Cl after structural relaxation. The functional is PBE-GGA.

```
BaLaS2Cl
1.0
-0.731 -3.456 4.293
2.508 -4.065 -2.845
4.805 1.530 2.050
S La Cl Ba
2 1 1 1
Cartesian
-0.366 -1.728 2.146 S
1.254 -2.032 -1.423 S
0.000 0.000 0.000 La
2.403 0.765 1.025 Cl
3.291 -2.996 1.749 Ba
```

Calculated values
As for the crystal system: tetragonal.

two | This record from the Alexandria database describes BaLaS2Cl after structural relaxation. The functional is PBE-GGA.

```
BaLaS2Cl
1.0
-3.315 -4.642 0.886
4.725 -3.273 0.530
0.072 0.982 5.419
S Ba La Cl
2 1 1 1
Cartesian
2.363 -1.637 0.265 S
-1.658 -2.321 0.443 S
0.000 0.000 0.000 Ba
0.741 -3.466 3.417 La
0.036 0.491 2.709 Cl
```

Calculated values
As for the crystal system: tetragonal.

Q: Which of them is the most stable? A: one.

one | This record from the Alexandria database describes BaLiCl3 after structural relaxation. The functional is PBE-GGA.

```
BaLiCl3
1.0
-5.925 0.740 -0.679
-0.995 -4.879 3.365
-0.137 3.430 4.933
Cl Li Ba
3 1 1
Cartesian
-2.963 0.370 -0.339 Cl
-0.497 -2.440 1.682 Cl
-0.068 1.715 2.467 Cl
-3.528 -0.355 3.810 Li
0.000 0.000 0.000 Ba
```

Calculated values
As for the crystal system: cubic.

two | This record from the Alexandria database describes BaLiCl3 after structural relaxation. The functional is PBE-GGA.

```
BaLiCl3
1.0
6.049 0.000 -3.427
-1.942 5.729 -3.427
0.003 0.005 7.057
Ba Cl Li
2 6 2
Cartesian
0.058 4.299 0.102 Ba
4.053 1.434 0.102 Ba
0.294 4.628 -3.824 Cl
1.028 1.434 1.815 Cl
3.082 4.299 -1.612 Cl
3.543 3.965 -5.141 Cl
3.813 1.100 -3.030 Cl
0.564 1.764 -1.714 Cl
0.000 0.000 0.000 Li
2.054 2.864 -3.427 Li
```

Calculated values
As for the crystal system: tetragonal.

Q: Which of them is the most stable? A: two.

one | This record from the Alexandria database describes BaLiCl3 after structural relaxation. The functional is PBE-GGA.

```
BaLiCl3
1.0
4.914 0.000 0.000
0.000 4.914 0.000
0.000 0.000 4.914
Cl Ba Li
3 1 1
Cartesian
0.000 0.000 2.457 Cl
0.000 2.457 0.000 Cl
2.457 0.000 0.000 Cl
2.457 2.457 2.457 Ba
0.000 0.000 0.000 Li
```

Calculated values
As for the crystal system: cubic.

two | This record from the Alexandria database describes BaLiCl3 after structural relaxation. The functional is PBE-GGA.

```
BaLiCl3
1.0
-5.013 -0.842 -0.121
0.874 -5.744 3.793
-0.765 3.721 5.810
Cl Ba Li
6 2 2
Cartesian
0.371 -2.839 4.412 Cl
0.021 -0.391 1.854 Cl
-2.070 -3.293 1.836 Cl
-0.262 0.815 5.191 Cl
-2.889 1.439 2.845 Cl
0.088 -1.633 7.750 Cl
-2.507 -0.421 -0.060 Ba
-2.452 -1.433 4.742 Ba
0.437 -2.872 1.897 Li
-0.382 1.860 2.905 Li
```

Calculated values
As for the crystal system: tetragonal.

Q: Which of them is the most stable? A: two.

one | This record from the Alexandria database describes BaLi3Cl after structural relaxation. The functional is PBE-GGA.

```
BaLi3Cl
1.0
6.820 0.000 0.000
0.000 6.820 0.000
0.000 0.000 6.820
Ba Li Cl
1 3 1
Cartesian
0.000 0.000 0.000 Ba
3.410 0.000 0.000 Li
0.000 0.000 3.410 Li
0.000 3.410 0.000 Li
3.410 3.410 3.410 Cl
```

Calculated values
As for the crystal system: cubic.

two | This record from the Alexandria database describes BaLi3Cl after structural relaxation. The functional is PBE-GGA.

```
BaLi3Cl
1.0
-4.443 2.540 -1.487
-2.295 -1.302 4.630
1.843 4.500 2.179
Li Ba Cl
3 1 1
Cartesian
-1.147 -0.651 2.315 Li
-2.221 1.270 -0.744 Li
0.922 2.250 1.090 Li
-2.447 2.869 2.661 Ba
0.000 0.000 0.000 Cl
```

Calculated values
As for the crystal system: cubic.

Q: Which of them is the most stable? A: two.

one | This record from the Alexandria database describes Ba2NaLiCl after structural relaxation. The functional is PBE-GGA.

```
Ba2NaLiCl
1.0
-1.412 2.420 -5.681
4.766 -3.278 -2.581
-3.376 -4.171 -0.937
Ba Na Li Cl
2 1 1 1
Cartesian
2.383 -1.639 -1.291 Ba
-0.706 1.210 -2.840 Ba
-1.688 -2.085 -0.469 Na
-0.011 -2.514 -4.600 Li
0.000 0.000 0.000 Cl
```

Calculated values
As for the crystal system: tetragonal.

two | This record from the Alexandria database describes Ba2NaLiCl after structural relaxation. The functional is PBE-GGA.

```
Ba2NaLiCl
1.0
-0.013 -6.340 -1.653
6.229 0.500 -1.969
1.486 -1.152 4.409
Ba Na Li Cl
2 1 1 1
Cartesian
3.115 0.250 -0.984 Ba
-0.007 -3.170 -0.826 Ba
3.851 -3.496 0.394 Na
0.743 -0.576 2.204 Li
0.000 0.000 0.000 Cl
```

Calculated values
As for the crystal system: tetragonal.

Q: Which of them is the most stable? A: two.

one | This record from the Alexandria database describes BaLiS2Cl after structural relaxation. The functional is PBE-GGA.

```
BaLiS2Cl
1.0
4.563 0.000 0.000
0.000 4.563 0.000
0.000 0.000 5.527
Cl S Li Ba
1 2 1 1
Cartesian
0.000 0.000 2.764 Cl
2.281 0.000 0.000 S
0.000 2.281 0.000 S
0.000 0.000 0.000 Li
2.281 2.281 2.764 Ba
```

Calculated values
As for the crystal system: tetragonal.

two | This record from the Alexandria database describes BaLiS2Cl after structural relaxation. The functional is PBE-GGA.

```
BaLiS2Cl
1.0
-2.409 3.480 4.272
-3.585 -4.531 1.669
4.171 -1.872 3.877
S Ba Li Cl
2 1 1 1
Cartesian
-1.793 -2.265 0.835 S
-1.204 1.740 2.136 S
0.000 0.000 0.000 Ba
-0.912 -1.461 4.909 Li
2.086 -0.936 1.939 Cl
```

Calculated values
As for the crystal system: tetragonal.

Q: Which of them is the most stable? A: one.

one | This record from the Alexandria database describes BaMgCl4 after structural relaxation. The functional is PBE-GGA.

```
BaMgCl4
1.0
-2.326 -2.098 5.336
-5.452 -2.926 0.061
-0.233 -6.086 1.093
Ba Cl Mg
1 4 1
Cartesian
0.000 0.000 0.000 Ba
-5.727 -5.629 2.465 Cl
-3.122 -7.207 2.981 Cl
-3.006 -4.169 2.435 Cl
-4.167 -5.216 5.099 Cl
-6.008 -8.333 4.868 Mg
```

Calculated values
As for the crystal system: cubic.

two | This record from the Alexandria database describes BaMgCl4 after structural relaxation. The functional is PBE-GGA.

```
BaMgCl4
1.0
-3.116 -7.277 1.887
5.048 3.375 5.418
-4.414 1.151 6.735
Ba Cl Mg
2 8 2
Cartesian
-1.807 1.219 7.319 Ba
-0.675 -3.971 6.722 Ba
1.340 1.659 7.403 Cl
-0.956 -1.555 8.770 Cl
-0.274 -0.909 1.507 Cl
-1.527 -1.197 5.271 Cl
-2.209 -1.843 12.534 Cl
-1.056 -4.255 3.512 Cl
-3.823 -4.411 6.638 Cl
-1.427 1.503 10.529 Cl
-0.842 -0.733 10.972 Mg
-1.641 -2.019 3.069 Mg
```

Calculated values
As for the crystal system: tetragonal.

three | This record from the Alexandria database describes BaMgCl4 after structural relaxation. The functional is PBE-GGA.

```
BaMgCl4
1.0
7.103 0.000 0.000
0.000 6.876 1.010
0.000 -1.800 6.635
Cl Ba Mg
8 2 2
Cartesian
4.519 3.537 2.680 Cl
6.136 0.099 2.175 Cl
5.667 0.306 5.928 Cl
4.987 3.743 6.433 Cl
1.436 4.770 1.717 Cl
0.967 4.976 5.471 Cl
2.584 1.538 4.966 Cl
2.115 1.332 1.212 Cl
0.000 2.538 3.823 Ba
3.551 -0.900 3.318 Ba
0.000 0.000 0.000 Mg
3.551 3.438 0.505 Mg
```

Calculated values
As for the crystal system: monoclinic.

Q: Which of them is the most stable? A: two.

one | This record from the Alexandria database describes BaMgCl3 after structural relaxation. The functional is PBE-GGA.

```
BaMgCl3
1.0
5.124 0.000 0.000
0.000 5.124 0.000
0.000 0.000 5.124
Mg Cl Ba
1 3 1
Cartesian
0.000 0.000 0.000 Mg
0.000 0.000 2.562 Cl
2.562 0.000 0.000 Cl
0.000 2.562 0.000 Cl
2.562 2.562 2.562 Ba
```

Calculated values
As for the crystal system: cubic.

two | This record from the Alexandria database describes BaMgCl3 after structural relaxation. The functional is PBE-GGA.

```
BaMgCl3
1.0
5.991 0.000 0.000
0.000 5.991 0.000
0.000 0.000 5.991
Cl Mg Ba
3 1 1
Cartesian
2.996 0.000 0.000 Cl
0.000 0.000 2.996 Cl
0.000 2.996 0.000 Cl
2.996 2.996 2.996 Mg
0.000 0.000 0.000 Ba
```

Calculated values
As for the crystal system: cubic.

Q: Which of them is the most stable? A: one.

one | This record from the Alexandria database describes BaMg3Cl after structural relaxation. The functional is PBE-GGA.

```
BaMg3Cl
1.0
-1.705 4.455 5.356
0.580 -5.404 4.680
6.943 1.545 0.924
Mg Ba Cl
3 1 1
Cartesian
3.471 0.773 0.462 Mg
-0.852 2.228 2.678 Mg
0.290 -2.702 2.340 Mg
0.000 0.000 0.000 Ba
2.909 0.298 5.480 Cl
```

Calculated values
As for the crystal system: cubic.

two | This record from the Alexandria database describes BaMg3Cl after structural relaxation. The functional is PBE-GGA.

```
BaMg3Cl
1.0
5.615 0.000 0.000
0.000 5.615 0.000
0.000 0.000 5.615
Cl Mg Ba
1 3 1
Cartesian
0.000 0.000 0.000 Cl
2.807 0.000 0.000 Mg
0.000 0.000 2.807 Mg
0.000 2.807 0.000 Mg
2.807 2.807 2.807 Ba
```

Calculated values
As for the crystal system: cubic.

Q: Which of them is the most stable? A: two.